# 1
VASP calculation (meta-GGA SCAN) on LiLaP2Cl at its PBEsol-relaxed geometry.

abc: 4.3209 4.3209 5.0151
angles: 90.00 90.00 90.00
With the nearest neighbours (Å) after each atom.
Element x y z (fractional)
P 0.0000 0.5000 0.0000  2 Li 2.16
P 0.5000 0.0000 0.0000  2 Li 2.16
Cl 0.0000 0.0000 0.5000  2 Li 2.51
Li 0.0000 0.0000 0.0000  4 P 2.16
La 0.5000 0.5000 0.5000  4 Cl 3.06, 8 P 3.31

Output
Its formation energy without anion corrections is -0.846 eV per atom.

# 2
VASP calculation (meta-GGA SCAN) on K2InRh at its PBEsol-relaxed geometry.

abc: 3.6702 3.6702 9.9032
angles: 90.00 90.00 90.00
With the nearest neighbours (Å) after each atom.
Element x y z (fractional)
In 0.5000 0.5000 0.6481  4 Rh 2.63
K 0.0000 0.0000 0.9212  1 Rh 3.14
K 0.5000 0.5000 0.3267  1 In 3.18
Rh 0.0000 0.0000 0.6040  4 In 2.63

Output
The formation energy from the elements comes out at 0.0201 eV/atom.

# 3
VASP calculation (meta-GGA SCAN) on GaAgGeRh2 at its PBEsol-relaxed geometry.

abc: 4.4862 4.8114 4.8114
angles: 90.00 90.00 90.00
With the nearest neighbours (Å) after each atom.
Element x y z (fractional)
Ge 0.5000 0.5000 0.5000  8 Rh 3.29, 4 Ga 3.40
Rh 0.0000 0.0000 0.5000  2 Ag 2.41
Rh 0.0000 0.5000 0.0000  2 Ag 2.41
Ga 0.5000 0.0000 0.0000  2 Ag 2.24
Ag 0.0000 0.0000 0.0000  2 Ga 2.24, 4 Rh 2.41

Output
The formation energy from the elements comes out at 1.3380 eV/atom.

# 4
VASP calculation (meta-GGA SCAN) on Sc2AlCu at its PBEsol-relaxed geometry.

abc: 3.0706 4.0640 5.8251
angles: 90.00 90.00 90.00
With the nearest neighbours (Å) after each atom.
Element x y z (fractional)
Sc 0.0000 0.0000 0.9766  2 Al 2.79-3.03, 4 Cu 2.88, 6 Sc 3.07-3.10
Sc 0.5000 0.5000 0.2788  1 Cu 2.73, 4 Al 2.85
Al 0.0000 0.0000 0.4970  6 Sc 2.79-3.03, 4 Cu 2.94, 2 Al 3.07
Cu 0.5000 0.5000 0.7476  5 Sc 2.73-2.88, 4 Al 2.94

Output
The formation energy from the elements comes out at -0.0964 eV/atom.

# 5
VASP calculation (meta-GGA SCAN) on LaAl3Br12 at its PBEsol-relaxed geometry.

abc: 10.5829 10.5829 18.6108
angles: 90.00 90.00 120.00
With the nearest neighbours (Å) after each atom.
Element x y z (fractional)
La 0.0000 0.7396 0.3333  8 Br 2.98-3.12
La 0.7396 0.0000 0.0000  8 Br 2.98-3.12
La 0.2604 0.2604 0.6667  8 Br 2.98-3.12
Al 0.6507 0.3029 0.9353  4 Br 2.26-2.39
Al 0.3478 0.6971 0.0647  4 Br 2.26-2.39
Al 0.6522 0.3493 0.6020  4 Br 2.26-2.39
Al 0.0870 0.0000 0.5000  4 Br 2.31-2.32
Al 0.3029 0.6507 0.3980  4 Br 2.26-2.39
Al 0.9130 0.9130 0.1667  4 Br 2.31-2.32
Al 0.6971 0.3478 0.2686  4 Br 2.26-2.39
Al 0.3493 0.6522 0.7314  4 Br 2.26-2.39
Al 0.0000 0.0870 0.8333  4 Br 2.31-2.32
Br 0.1461 0.7056 0.0330  1 Al 2.26
Br 0.5596 0.8539 0.6997  1 Al 2.26
Br 0.8094 0.7709 0.0652  1 Al 2.32
Br 0.9228 0.5232 0.2151  1 Al 2.39
Br 0.4404 0.2944 0.9670  1 Al 2.26
Br 0.5093 0.3135 0.1976  1 Al 2.26
Br 0.5232 0.9228 0.1182  1 Al 2.39
Br 0.6865 0.1958 0.5310  1 Al 2.26
Br 0.4768 0.3996 0.5485  1 Al 2.39
Br 0.1906 0.9615 0.6015  1 Al 2.32
Br 0.3996 0.4768 0.7849  1 Al 2.39
Br 0.2262 0.5183 0.6271  1 Al 2.37
Br 0.5183 0.2262 0.7063  1 Al 2.37
Br 0.7080 0.4817 0.3729  1 Al 2.37
Br 0.7709 0.8094 0.2681  1 Al 2.32
Br 0.3135 0.5093 0.1357  1 Al 2.26
Br 0.2291 0.0385 0.3985  1 Al 2.32
Br 0.1957 0.0597 0.8004  1 Al 2.31
Br 0.0597 0.1957 0.5329  1 Al 2.31
Br 0.4907 0.8042 0.4690  1 Al 2.26
Br 0.2944 0.4404 0.3664  1 Al 2.26
Br 0.2920 0.7738 0.2937  1 Al 2.37
Br 0.1958 0.6865 0.8024  1 Al 2.26
Br 0.0385 0.2291 0.9348  1 Al 2.32
Br 0.6004 0.0772 0.8818  1 Al 2.39
Br 0.8043 0.8641 0.8663  1 Al 2.31
Br 0.0772 0.6004 0.4515  1 Al 2.39
Br 0.9403 0.1359 0.1337  1 Al 2.31
Br 0.8539 0.5596 0.6336  1 Al 2.26
Br 0.1359 0.9403 0.1996  1 Al 2.31
Br 0.8641 0.8043 0.4671  1 Al 2.31
Br 0.9615 0.1906 0.7319  1 Al 2.32
Br 0.7056 0.1461 0.3003  1 Al 2.26
Br 0.7738 0.2920 0.0396  1 Al 2.37
Br 0.8042 0.4907 0.8643  1 Al 2.26
Br 0.4817 0.7080 0.9604  1 Al 2.37

Output
Its formation energy without anion corrections is -1.479 eV per atom.

# 6
VASP calculation (meta-GGA SCAN) on Ba3InIr2O9 at its PBEsol-relaxed geometry.

abc: 5.8124 5.8124 14.3721
angles: 90.00 90.00 120.00
With the nearest neighbours (Å) after each atom.
Element x y z (fractional)
Ba 0.3333 0.6667 0.4126  12 O 2.91-2.94
Ba 0.6667 0.3333 0.5874  12 O 2.91-2.94
Ba 0.6667 0.3333 0.9126  12 O 2.91-2.94
Ba 0.3333 0.6667 0.0874  12 O 2.91-2.94
Ba 0.0000 0.0000 0.2500  12 O 2.91-2.96
Ba 0.0000 0.0000 0.7500  12 O 2.91-2.96
In 0.0000 0.0000 0.5000  6 O 2.12
In 0.0000 0.0000 0.0000  6 O 2.12
Ir 0.3333 0.6667 0.8367  6 O 1.97-2.03
Ir 0.6667 0.3333 0.1633  6 O 1.97-2.03
Ir 0.6667 0.3333 0.3367  6 O 1.97-2.03
Ir 0.3333 0.6667 0.6633  6 O 1.97-2.03
O 0.9838 0.4919 0.2500  2 Ir 2.03
O 0.0162 0.5081 0.7500  2 Ir 2.03
O 0.5081 0.0162 0.2500  2 Ir 2.03
O 0.4919 0.9838 0.7500  2 Ir 2.03
O 0.5081 0.4919 0.2500  2 Ir 2.03
O 0.4919 0.5081 0.7500  2 Ir 2.03
O 0.6530 0.8265 0.9159  1 Ir 1.97, 1 In 2.12
O 0.3470 0.1735 0.0841  1 Ir 1.97, 1 In 2.12
O 0.1735 0.3470 0.9159  1 Ir 1.97, 1 In 2.12
O 0.3470 0.1735 0.4159  1 Ir 1.97, 1 In 2.12
O 0.8265 0.6530 0.0841  1 Ir 1.97, 1 In 2.12
O 0.6530 0.8265 0.5841  1 Ir 1.97, 1 In 2.12
O 0.1735 0.8265 0.9159  1 Ir 1.97, 1 In 2.12
O 0.8265 0.6530 0.4159  1 Ir 1.97, 1 In 2.12
O 0.8265 0.1735 0.0841  1 Ir 1.97, 1 In 2.12
O 0.1735 0.3470 0.5841  1 Ir 1.97, 1 In 2.12
O 0.8265 0.1735 0.4159  1 Ir 1.97, 1 In 2.12
O 0.1735 0.8265 0.5841  1 Ir 1.97, 1 In 2.12

Output
Its formation energy without anion corrections is -1.970 eV per atom.

# 7
VASP calculation (meta-GGA SCAN) on BeNbCrHg2 at its PBEsol-relaxed geometry.

abc: 4.3462 4.9806 4.9806
angles: 90.00 90.00 90.00
With the nearest neighbours (Å) after each atom.
Element x y z (fractional)
Cr 0.0000 0.0000 0.0000  2 Nb 2.17
Nb 0.5000 0.0000 0.0000  2 Cr 2.17
Hg 0.0000 0.0000 0.5000  2 Cr 2.49
Hg 0.0000 0.5000 0.0000  2 Cr 2.49
Be 0.5000 0.5000 0.5000  8 Hg 3.31, 4 Nb 3.52

Output
The formation energy from the elements comes out at 1.2048 eV/atom.

# 8
VASP calculation (meta-GGA SCAN) on Al2ZnCr at its PBEsol-relaxed geometry.

abc: 3.1573 3.1573 5.5862
angles: 90.00 90.00 90.00
With the nearest neighbours (Å) after each atom.
Element x y z (fractional)
Cr 0.5000 0.5000 0.0000  8 Al 2.60, 2 Zn 2.79
Zn 0.5000 0.5000 0.5000  8 Al 2.67, 2 Cr 2.79
Al 0.0000 0.0000 0.7622  4 Cr 2.60, 1 Al 2.66, 4 Zn 2.67
Al 0.0000 0.0000 0.2378  4 Cr 2.60, 1 Al 2.66, 4 Zn 2.67

Output
The formation energy from the elements comes out at -0.1143 eV/atom.

# 9
VASP calculation (meta-GGA SCAN) on Y3Ge13Os4 at its PBEsol-relaxed geometry.

abc: 8.9648 8.9648 8.9648
angles: 90.00 90.00 90.00
With the nearest neighbours (Å) after each atom.
Element x y z (fractional)
Y 0.0000 0.5000 0.7500  12 Ge 3.16-3.21, 4 Os 3.17
Y 0.5000 0.2500 0.0000  12 Ge 3.16-3.21, 4 Os 3.17
Y 0.7500 0.0000 0.5000  12 Ge 3.16-3.21, 4 Os 3.17
Y 0.0000 0.5000 0.2500  12 Ge 3.16-3.21, 4 Os 3.17
Y 0.5000 0.7500 0.0000  12 Ge 3.16-3.21, 4 Os 3.17
Y 0.2500 0.0000 0.5000  12 Ge 3.16-3.21, 4 Os 3.17
Ge 0.5000 0.5000 0.5000  12 Ge 2.97
Ge 0.0000 0.0000 0.0000  12 Ge 2.97
Ge 0.7982 0.3551 0.5000  2 Os 2.47, 1 Ge 2.60
Ge 0.6449 0.5000 0.7982  2 Os 2.47, 1 Ge 2.60
Ge 0.5000 0.2018 0.6449  2 Os 2.47, 1 Ge 2.60
Ge 0.2018 0.6449 0.5000  2 Os 2.47, 1 Ge 2.60
Ge 0.3551 0.5000 0.2018  2 Os 2.47, 1 Ge 2.60
Ge 0.5000 0.7982 0.3551  2 Os 2.47, 1 Ge 2.60
Ge 0.7982 0.6449 0.5000  2 Os 2.47, 1 Ge 2.60
Ge 0.6449 0.5000 0.2018  2 Os 2.47, 1 Ge 2.60
Ge 0.2018 0.3551 0.5000  2 Os 2.47, 1 Ge 2.60
Ge 0.3551 0.5000 0.7982  2 Os 2.47, 1 Ge 2.60
Ge 0.5000 0.7982 0.6449  2 Os 2.47, 1 Ge 2.60
Ge 0.5000 0.2018 0.3551  2 Os 2.47, 1 Ge 2.60
Ge 0.2982 0.0000 0.8551  2 Os 2.47, 1 Ge 2.60
Ge 0.1449 0.2982 0.0000  2 Os 2.47, 1 Ge 2.60
Ge 0.0000 0.1449 0.7018  2 Os 2.47, 1 Ge 2.60
Ge 0.7018 0.0000 0.1449  2 Os 2.47, 1 Ge 2.60
Ge 0.8551 0.7018 0.0000  2 Os 2.47, 1 Ge 2.60
Ge 0.0000 0.8551 0.2982  2 Os 2.47, 1 Ge 2.60
Ge 0.2982 0.0000 0.1449  2 Os 2.47, 1 Ge 2.60
Ge 0.1449 0.7018 0.0000  2 Os 2.47, 1 Ge 2.60
Ge 0.7018 0.0000 0.8551  2 Os 2.47, 1 Ge 2.60
Ge 0.8551 0.2982 0.0000  2 Os 2.47, 1 Ge 2.60
Ge 0.0000 0.1449 0.2982  2 Os 2.47, 1 Ge 2.60
Ge 0.0000 0.8551 0.7018  2 Os 2.47, 1 Ge 2.60
Os 0.7500 0.2500 0.7500  6 Ge 2.47
Os 0.2500 0.7500 0.2500  6 Ge 2.47
Os 0.7500 0.7500 0.2500  6 Ge 2.47
Os 0.2500 0.2500 0.7500  6 Ge 2.47
Os 0.2500 0.7500 0.7500  6 Ge 2.47
Os 0.7500 0.2500 0.2500  6 Ge 2.47
Os 0.2500 0.2500 0.2500  6 Ge 2.47
Os 0.7500 0.7500 0.7500  6 Ge 2.47

Output
The formation energy from the elements comes out at -0.4373 eV/atom.

# 10
VASP calculation (meta-GGA SCAN) on BeRe2Tc at its PBEsol-relaxed geometry.

abc: 2.7113 4.5298 4.6052
angles: 98.28 90.08 107.31
With the nearest neighbours (Å) after each atom.
Element x y z (fractional)
Re 0.0043 0.0050 0.0151  3 Be 2.57-2.62, 4 Tc 2.60-2.74, 5 Re 2.64-2.71
Re 0.2489 0.5006 0.7434  3 Tc 2.57-2.67, 5 Re 2.64-2.71, 4 Be 2.66-2.68
Tc 0.4978 0.9957 0.4959  7 Re 2.57-2.74, 3 Be 2.61-2.65, 2 Tc 2.71
Be 0.7490 0.4987 0.2456  7 Re 2.57-2.68, 3 Tc 2.61-2.65, 2 Be 2.71

Output
The formation energy from the elements comes out at 0.1092 eV/atom.

# 11
VASP calculation (meta-GGA SCAN) on TaInAu2 at its PBEsol-relaxed geometry.

abc: 2.9903 2.9903 7.9851
angles: 90.00 90.00 90.00
With the nearest neighbours (Å) after each atom.
Element x y z (fractional)
Au 0.0000 0.0000 0.9934  4 Ta 2.80, 8 Au 2.92-2.99
Au 0.5000 0.5000 0.2454  8 Au 2.92-2.99, 4 In 2.92
In 0.0000 0.0000 0.4979  4 Au 2.92, 4 In 2.99, 4 Ta 2.99
Ta 0.5000 0.5000 0.7633  4 Au 2.80, 4 Ta 2.99, 4 In 2.99

Output
The formation energy from the elements comes out at -0.0749 eV/atom.

# 12
VASP calculation (meta-GGA SCAN) on NiI2N2 at its PBEsol-relaxed geometry.

abc: 4.0978 4.0978 5.4716
angles: 90.00 90.00 90.00
With the nearest neighbours (Å) after each atom.
Element x y z (fractional)
I 0.5000 0.5000 0.5000  4 I 2.90
I 0.0000 0.0000 0.5000  2 Ni 2.74, 4 I 2.90
Ni 0.0000 0.0000 0.0000  4 N 2.05
N 0.0000 0.5000 0.0000  2 Ni 2.05
N 0.5000 0.0000 0.0000  2 Ni 2.05

Output
Its formation energy without anion corrections is 1.495 eV per atom.